## Cu5Rh3 (PBE)

Data for a geometry-optimized Cu5Rh3 structure.

Cell: 5.2862 5.2862 3.7267 Å, 90.00 90.00 89.14°
Sites, in units of the cell vectors:
1 Cu 0.7562 0.2438 0.5000
2 Cu 0.0000 0.5000 0.0000
3 Rh 0.2500 0.2500 0.5000
4 Cu 0.0000 0.0000 0.0000
5 Cu 0.5000 0.0000 0.0000
6 Rh 0.5000 0.5000 0.0000
7 Rh 0.7500 0.7500 0.5000
8 Cu 0.2438 0.7562 0.5000

Summary:
Electronic total energy: -5.23 eV per atom
Formation enthalpy at 0 K: 0.089 eV per atom
Symmetry: No. 65

## Pr2HfAs3 (PBE)

Data for a geometry-optimized Pr2HfAs3 structure.

Cell: 4.1635 4.1634 9.2121 Å, 103.06 103.06 90.00°
Sites, in units of the cell vectors:
1 Hf 0.4341 0.4358 0.8740
2 As 0.5909 0.5922 0.1871
3 As 0.9341 0.9359 0.8740
4 As 0.2777 0.2790 0.5608
5 Pr 0.1014 0.1027 0.2082
6 Pr 0.7672 0.7685 0.5398

Summary:
Electronic total energy: -6.80 eV per atom
Formation enthalpy at 0 K: -1.224 eV per atom
Symmetry: No. 139

## AcPmAsF (PBE)

Data for a geometry-optimized AcPmAsF structure.

Cell: 5.1142 5.1142 5.1142 Å, 60.00 60.00 60.00°
Sites, in units of the cell vectors:
1 Ac 0.0000 0.0000 0.0000
2 Pm 0.5000 0.5000 0.5000
3 F 0.7500 0.7500 0.7500
4 As 0.2500 0.2500 0.2500

Summary:
Electronic total energy: -5.48 eV per atom
E_form (uncorrected): -1.63 eV/atom
Symmetry: No. 216

## GaReSeBr2 (PBE)

Data for a geometry-optimized GaReSeBr2 structure.

Cell: 5.3549 5.3549 4.7205 Å, 90.00 90.00 90.00°
Sites, in units of the cell vectors:
1 Br 0.0000 0.5000 0.0000
2 Br 0.5000 0.0000 0.0000
3 Ga 0.5000 0.5000 0.5000
4 Re 0.0000 0.0000 0.0000
5 Se 0.0000 0.0000 0.5000

Summary:
Electronic total energy: -4.22 eV per atom
E_form (uncorrected): 0.24 eV/atom
Symmetry: No. 123

## ZrCrCu (PBE)

Data for a geometry-optimized ZrCrCu structure.

Cell: 5.5943 4.4902 7.4384 Å, 90.00 91.66 90.00°
Sites, in units of the cell vectors:
1 Cu 0.7408 0.0000 0.3399
2 Cu 0.4037 0.5000 0.1571
3 Cu 0.4037 0.0000 0.6571
4 Cr 0.2246 0.0000 0.3192
5 Cu 0.7408 0.5000 0.8400
6 Cr 0.0944 0.0000 0.0207
7 Cr 0.2246 0.5000 0.8192
8 Zr 0.9299 0.5000 0.1788
9 Zr 0.9299 0.0000 0.6788
10 Zr 0.5507 0.5000 0.4983
11 Zr 0.5507 0.0000 0.9983
12 Cr 0.0944 0.5000 0.5207

Summary:
Electronic total energy: -7.24 eV per atom
Formation enthalpy at 0 K: 0.179 eV per atom
Symmetry: No. 8

## PrPI (PBE)

Data for a geometry-optimized PrPI structure.

Cell: 4.9510 4.6036 12.0184 Å, 83.05 78.11 57.47°
Sites, in units of the cell vectors:
1 Pr 0.8328 0.9896 0.3449
2 I 0.7370 0.7019 0.8242
3 P 0.4415 0.6885 0.4285
4 Pr 0.1672 0.0104 0.6551
5 I 0.2630 0.2981 0.1758
6 P 0.5585 0.3115 0.5715

Summary:
Electronic total energy: -5.15 eV per atom
E_form (uncorrected): -1.24 eV/atom
Symmetry: No. 12

no.,V (Å³/cell)
1,104
2,151
3,95
4,135
5,187
6,226